Below is DyHoMgRh after structural relaxation, with properties calculated at the PBE level.

Results
E_tot (eV per cell): -79.20

Cell lengths 7.1271, 7.1271, 7.1271 Å; angles 90.00, 90.00, 90.00 degrees
Space group F-43m (No. 216)
Asymmetric unit:
Dy  0.0000  0.0000  0.0000
Ho  0.0000  0.0000  0.5000
Mg  0.2500  0.2500  0.2500
Rh  0.2500  0.2500  0.7500

=====

Below is Li2TaCo after structural relaxation, with properties calculated at the PBE level.

Results
E_tot (eV per cell): -80.26
Energy above the lowest structure with this stoichiometry (eV/atom): 0.516

Cell lengths 5.8704, 5.8704, 5.8704 Å; angles 90.00, 90.00, 90.00 degrees
Space group Fm-3m (No. 225)
Asymmetric unit:
Li  0.2500  0.2500  0.2500
Ta  0.0000  0.0000  0.0000
Co  0.0000  0.0000  0.5000

=====

Below is SrHF3 after structural relaxation, with properties calculated at the PBE level.

Results
E_tot (eV per cell): -50.51
Energy above the lowest structure with this stoichiometry (eV/atom): 0.094

Cell lengths 4.1296, 5.6013, 5.8276 Å; angles 90.00, 104.65, 90.00 degrees
Space group P2_1/m (No. 11)
Asymmetric unit:
Sr  0.1705  0.2500  0.3208
H  0.4124  0.7500  0.1850
F  0.1683  0.7500  0.1164
F  0.3266  0.0034  0.6830

=====

Below is YRhPb2 after structural relaxation, with properties calculated at the PBE level.

Results
E_tot (eV per cell): -22.52

Cell lengths 4.0429, 3.8834, 6.9212 Å; angles 90.00, 106.90, 90.00 degrees
Space group Pm (No. 6)
Asymmetric unit:
Y  0.0000  0.0000  0.0000
Rh  0.5550  0.5000  0.1100
Pb  0.3439  0.5000  0.6857
Pb  0.7177  0.0000  0.4333

=====

Below is Pm4DySi2 after structural relaxation, with properties calculated at the PBE level.

Results
E_tot (eV per cell): -73.76
E_form (uncorrected) (eV per atom): -0.35

Cell lengths 10.3152, 10.3152, 3.6155 Å; angles 90.00, 90.00, 90.00 degrees
Space group P4_2/mnm (No. 136)
Asymmetric unit:
Pm  0.0987  0.3138  0.0000
Dy  0.0000  0.0000  0.5000
Si  0.1612  0.8388  0.0000

=====

Below is Be2CoBr after structural relaxation, with properties calculated at the PBE level.

Results
E_tot (eV per cell): -26.85
E_form (uncorrected) (eV per atom): 0.70
Energy above the lowest structure with this stoichiometry (eV/atom): 0.570

Cell lengths 4.9148, 8.2394, 3.0051 Å; angles 90.00, 123.81, 90.00 degrees
Space group C2/m (No. 12)
Asymmetric unit:
Be  0.2500  0.2500  0.0000
Co  0.0000  0.0000  0.0000
Br  0.0000  0.5000  0.0000

=====

Below is SrLiPrAl after structural relaxation, with properties calculated at the PBE level.

Results
E_tot (eV per cell): -49.82

Cell lengths 7.7995, 7.7995, 7.7995 Å; angles 90.00, 90.00, 90.00 degrees
Space group F-43m (No. 216)
Asymmetric unit:
Sr  0.0000  0.0000  0.0000
Li  0.2500  0.2500  0.2500
Pr  0.0000  0.0000  0.5000
Al  0.2500  0.2500  0.7500

=====

Below is ZnCdPb2Cl after structural relaxation, with properties calculated at the PBE level.

Results
E_tot (eV per cell): -11.13
E_form (uncorrected) (eV per atom): 0.07

Cell lengths 5.4559, 5.4559, 5.1428 Å; angles 90.00, 90.00, 90.00 degrees
Space group P4/mmm (No. 123)
Asymmetric unit:
Zn  0.0000  0.0000  0.0000
Cd  0.0000  0.0000  0.5000
Pb  0.0000  0.5000  0.0000
Cl  0.5000  0.5000  0.5000

=====

> E_tot of number 6 (Be2CoBr)?

-26.85 eV per cell